LiTl3: relaxed, GGA-PBEsol.

Values from the calculation:
total energy = -2.5398 eV/atom
total magnetic moment = 0.000 μB/f.u.
symmetry = Cmmm (65)
energy relative to the elements = -0.076 eV per atom

a b c (Å): 3.4499 5.5725 5.5725
angles (deg): 107.53 90.00 90.00
Atoms (fractional coordinates):
1 Tl 0.5000 0.5000 0.0000
2 Tl 0.5000 0.0000 0.5000
3 Tl 0.0000 0.5000 0.5000
4 Li 0.0000 0.0000 0.0000